# AgRuF5 PBE relaxed
data_AgRuF5
_chemical_formula_sum 'Ag2 Ru2 F10'
_space_group_name_H-M_alt 'P 1'
_space_group_IT_number 1
_space_group_name_Hall 'P 1'
_cell_length_a 5.712
_cell_length_b 5.712
_cell_length_c 7.767
_cell_angle_alpha 107.07
_cell_angle_beta 107.07
_cell_angle_gamma 74.15
loop_
_atom_site_label
_atom_site_type_symbol
_atom_site_fract_x
_atom_site_fract_y
_atom_site_fract_z
_atom_site_occupancy
Ag1 Ag 0.026 0.974 0.750 1
Ag2 Ag 0.974 0.026 0.250 1
Ru1 Ru 0.500 0.500 0.000 1
Ru2 Ru 0.500 0.500 0.500 1
F1 F 0.180 0.737 0.015 1
F2 F 0.224 0.335 0.390 1
F3 F 0.263 0.820 0.485 1
F4 F 0.335 0.224 0.890 1
F5 F 0.424 0.576 0.750 1
F6 F 0.576 0.424 0.250 1
F7 F 0.665 0.776 0.110 1
F8 F 0.737 0.180 0.515 1
F9 F 0.776 0.665 0.610 1
F10 F 0.820 0.263 0.985 1
# - formation energy (no corrections) (kJ/mol of formula units) = -1027
# - final energy (eV/cell) = -64.264
# - calculated density (g cm⁻³) = 4.453